# DyTm2PuSe4

A relaxed structure of DyTm2PuSe4 (PBE, Alexandria via LeMat-Bulk).

```
8
Lattice="4.039 0.000 0.000 0.000 7.035 0.140 0.000 -2.439 6.617" Properties=species:S:1:pos:R:3 pbc="T T T"
Se 0.000 4.682 1.818
Se 2.020 3.464 5.020
Se 0.000 -0.086 4.939
Se 2.020 1.132 1.737
Tm 0.000 2.298 3.379
Tm 2.020 -1.220 3.309
Pu 2.020 3.518 0.070
Dy 0.000 0.000 0.000
```

Values from the calculation:
* raw formation energy: -1.6762 eV/atom
* size of the total moment: 0.7456 μB/atom
* space group: P2/m

# Dy2Pu3USe6

A relaxed structure of Dy2Pu3USe6 (PBE, Alexandria via LeMat-Bulk).

```
12
Lattice="4.071 0.000 0.000 0.000 8.235 0.293 -2.036 -2.374 8.671" Properties=species:S:1:pos:R:3 pbc="T T T"
Se 2.036 3.809 8.874
Se 0.000 2.052 0.090
Se 2.036 3.976 3.102
Se 0.000 1.885 5.862
Se 0.000 5.945 6.040
Se 2.036 -0.085 2.924
Pu 0.000 6.072 3.140
Pu 2.036 -0.212 5.824
Pu 2.036 4.117 0.146
Dy 2.036 3.915 6.006
Dy 0.000 1.946 2.958
U 2.036 0.000 0.000
```

Values from the calculation:
* raw formation energy: -1.5174 eV/atom
* size of the total moment: 0.2361 μB/atom
* space group: C2/m

# DyPu2USe4

A relaxed structure of DyPu2USe4 (PBE, Alexandria via LeMat-Bulk).

```
8
Lattice="-1.317 3.471 1.663 -6.543 -2.720 0.496 3.603 -1.512 6.007" Properties=species:S:1:pos:R:3 pbc="T T T"
Pu -1.470 -2.116 3.252
Pu 1.143 0.979 3.835
Se -2.857 -1.440 5.717
Se -4.009 -2.409 1.853
Se -1.399 0.679 2.450
Se 1.069 -1.823 4.651
U 0.000 0.000 0.000
Dy -3.930 0.375 1.080
```

Values from the calculation:
* raw formation energy: -1.4520 eV/atom
* size of the total moment: 1.8099 μB/atom
* space group: P2/m

# Dy3Y3PuSe8

A relaxed structure of Dy3Y3PuSe8 (PBE, Alexandria via LeMat-Bulk).

```
15
Lattice="8.149 0.000 0.000 -4.075 7.057 -0.024 0.000 -4.682 6.669" Properties=species:S:1:pos:R:3 pbc="T T T"
Se 0.000 2.356 1.661
Se 0.000 0.082 5.025
Se 6.061 -1.139 1.631
Se 2.088 -1.139 1.631
Se 4.075 2.293 1.619
Se 4.075 0.018 4.983
Se -1.986 3.514 5.014
Se 1.986 3.514 5.014
Dy -2.037 1.187 3.322
Dy 4.075 -2.341 3.334
Dy 2.037 1.187 3.322
Y 2.037 3.528 -0.012
Y -2.037 3.528 -0.012
Y 0.000 0.000 0.000
Pu 0.000 -2.341 3.334
```

Values from the calculation:
* raw formation energy: -1.7887 eV/atom
* size of the total moment: 0.4186 μB/atom
* space group: R-3m

# DyY2Pu3Se6

A relaxed structure of DyY2Pu3Se6 (PBE, Alexandria via LeMat-Bulk).

```
12
Lattice="4.094 0.000 0.000 0.000 8.258 0.241 -2.047 -2.432 8.657" Properties=species:S:1:pos:R:3 pbc="T T T"
Pu 0.000 6.070 3.089
Pu 2.047 -0.244 5.809
Pu 2.047 4.129 0.120
Se 2.047 3.982 3.042
Se 0.000 2.034 0.075
Se 0.000 1.844 5.856
Se 2.047 -0.097 2.884
Se 2.047 3.792 8.822
Se 0.000 5.923 6.014
Y 2.047 3.883 5.931
Y 0.000 1.942 2.966
Dy 2.047 0.000 0.000
```

Values from the calculation:
* raw formation energy: -1.6761 eV/atom
* size of the total moment: 1.4666 μB/atom
* space group: C2/m

# DyY2PuSe4

A relaxed structure of DyY2PuSe4 (PBE, Alexandria via LeMat-Bulk).

```
8
Lattice="-2.635 2.629 1.671 -1.566 -4.766 5.028 5.419 4.027 2.208" Properties=species:S:1:pos:R:3 pbc="T T T"
Se -0.347 1.143 2.635
Se 0.189 -2.573 4.344
Se 3.665 1.834 2.892
Se 1.565 0.747 6.272
Dy 0.000 0.000 0.000
Y 1.392 3.328 1.940
Y 1.927 -0.369 3.618
Pu -2.100 -1.069 3.350
```

Values from the calculation:
* raw formation energy: -1.7259 eV/atom
* size of the total moment: 0.7422 μB/atom
* space group: P2/m

# DyY3Pu3Se8

A relaxed structure of DyY3Pu3Se8 (PBE, Alexandria via LeMat-Bulk).

```
15
Lattice="-4.938 2.435 6.082 3.117 -7.588 0.035 4.902 6.454 1.395" Properties=species:S:1:pos:R:3 pbc="T T T"
Pu 1.558 -3.794 0.018
Pu -0.910 -2.576 3.059
Pu 0.000 0.000 0.000
Se -2.448 3.434 4.915
Se 1.565 -1.565 1.897
Se 3.983 1.630 2.581
Se -0.902 -0.329 4.932
Se 0.001 2.227 1.898
Se 3.080 -0.925 5.615
Se 5.529 -2.133 2.598
Se 1.516 2.867 5.616
Y -0.018 4.445 3.739
Y 4.009 -0.567 0.715
Y 1.540 0.651 3.756
Dy 2.451 3.227 0.698
```

Values from the calculation:
* raw formation energy: -1.7351 eV/atom
* size of the total moment: 1.1592 μB/atom
* space group: R-3m

# DyY3Pu2Se6

A relaxed structure of DyY3Pu2Se6 (PBE, Alexandria via LeMat-Bulk).

```
12
Lattice="7.088 -0.003 0.000 -3.545 6.138 0.000 -1.182 -2.047 6.738" Properties=species:S:1:pos:R:3 pbc="T T T"
Se 3.535 2.058 5.040
Se 2.345 -0.002 1.697
Se 0.016 4.090 5.040
Se -1.173 2.030 1.697
Se 2.371 4.105 1.711
Se -0.010 -0.017 5.027
Pu 3.542 2.045 0.000
Pu 0.001 4.090 0.000
Dy 0.000 0.000 0.000
Y -2.351 4.084 3.369
Y 1.181 2.044 3.369
Y 4.712 0.005 3.369
```

Values from the calculation:
* raw formation energy: -1.7107 eV/atom
* size of the total moment: 0.9832 μB/atom
* space group: C2/m

# Dy3YPu2Se6

A relaxed structure of Dy3YPu2Se6 (PBE, Alexandria via LeMat-Bulk).

```
12
Lattice="4.083 0.000 0.000 0.000 8.223 0.278 -2.041 -2.386 8.616" Properties=species:S:1:pos:R:3 pbc="T T T"
Dy 2.041 4.111 0.139
Dy 2.041 -0.218 5.779
Dy 0.000 6.054 3.116
Y 2.041 0.000 0.000
Pu 2.041 3.890 5.943
Pu 0.000 1.947 2.951
Se 2.041 4.027 3.021
Se 2.041 -0.142 2.891
Se 2.041 -0.323 8.651
Se 0.000 6.160 0.243
Se 0.000 5.978 6.003
Se 0.000 1.809 5.873
```

Values from the calculation:
* raw formation energy: -1.7062 eV/atom
* size of the total moment: 0.9806 μB/atom
* space group: C2/m

# Dy2YPuSe4

A relaxed structure of Dy2YPuSe4 (PBE, Alexandria via LeMat-Bulk).

```
8
Lattice="-2.563 2.794 1.499 -5.384 -3.094 -3.440 0.616 -2.897 6.451" Properties=species:S:1:pos:R:3 pbc="T T T"
Se -0.870 -2.926 3.964
Se -2.467 -0.105 1.522
Se -3.899 -3.065 -0.953
Se -4.865 -3.093 2.989
Pu -3.974 -0.150 -0.970
Dy -2.384 -2.996 1.506
Dy -0.974 -0.052 3.975
Y 0.000 0.000 0.000
```

Values from the calculation:
* raw formation energy: -1.7218 eV/atom
* size of the total moment: 0.7428 μB/atom
* space group: P2/m

# DyPu2ZrSe4

A relaxed structure of DyPu2ZrSe4 (PBE, Alexandria via LeMat-Bulk).

```
8
Lattice="-3.568 1.813 0.619 -1.913 -5.267 4.399 3.157 4.986 3.602" Properties=species:S:1:pos:R:3 pbc="T T T"
Pu 0.622 -0.141 4.001
Pu -0.205 3.399 2.111
Zr -2.741 -1.727 2.509
Se -1.505 0.780 2.292
Se -0.664 -2.716 4.126
Se -0.819 0.752 6.328
Se 1.909 2.435 3.876
Dy 0.000 0.000 0.000
```

Values from the calculation:
* raw formation energy: -1.4822 eV/atom
* size of the total moment: 0.0352 μB/atom
* space group: P2/m

# Dy4PuSi4

A relaxed structure of Dy4PuSi4 (PBE, Alexandria via LeMat-Bulk).

```
18
Lattice="-4.948 -1.889 -2.251 3.454 -8.147 -0.754 -2.940 -1.999 8.138" Properties=species:S:1:pos:R:3 pbc="T T T"
Dy -3.450 -5.079 6.381
Dy 0.947 -7.694 2.481
Dy -1.707 -2.939 4.324
Dy -4.682 -8.030 4.211
Dy -1.969 -10.023 3.489
Dy -3.426 -5.408 -0.749
Dy -3.738 -2.499 1.065
Dy 0.290 -6.471 -0.669
Pu 0.000 0.000 0.000
Pu -2.217 -6.018 2.567
Si -4.198 -4.351 3.551
Si 0.180 -8.778 4.999
Si -1.561 -8.191 0.979
Si -2.149 -7.863 -1.418
Si -1.225 -4.144 0.785
Si -0.992 -1.874 1.782
Si -1.883 -7.386 4.952
Si -5.906 -5.556 4.903
```

Values from the calculation:
* raw formation energy: -0.3931 eV/atom
* size of the total moment: 0.7375 μB/atom
* space group: P4_2/n

# DyPu2Si

A relaxed structure of DyPu2Si (PBE, Alexandria via LeMat-Bulk).

```
4
Lattice="4.852 0.000 0.000 0.000 4.352 0.000 0.000 0.000 4.352" Properties=species:S:1:pos:R:3 pbc="T T T"
Si 2.426 0.000 0.000
Pu 0.000 0.000 2.176
Pu 0.000 2.176 0.000
Dy 2.426 2.176 2.176
```

Values from the calculation:
* raw formation energy: -0.2297 eV/atom
* size of the total moment: 2.8636 μB/atom
* space group: P4/mmm

# DyPu2Si

A relaxed structure of DyPu2Si (PBE, Alexandria via LeMat-Bulk).

```
4
Lattice="3.447 0.000 0.000 1.723 2.985 0.000 1.723 0.995 10.162" Properties=species:S:1:pos:R:3 pbc="T T T"
Pu 1.723 0.995 2.090
Pu 5.170 2.985 8.072
Si 0.000 0.000 0.000
Dy 3.447 1.990 5.081
```

Values from the calculation:
* raw formation energy: 0.0849 eV/atom
* size of the total moment: 2.8658 μB/atom
* space group: R-3m

# Dy2PuSi

A relaxed structure of Dy2PuSi (PBE, Alexandria via LeMat-Bulk).

```
4
Lattice="-3.052 0.235 3.196 2.718 -2.567 2.784 2.002 3.883 1.626" Properties=species:S:1:pos:R:3 pbc="T T T"
Dy 1.359 -1.284 1.392
Dy 1.001 1.942 0.813
Si -1.526 0.117 1.598
Pu 0.834 0.775 3.803
```

Values from the calculation:
* raw formation energy: -0.1902 eV/atom
* size of the total moment: 1.5721 μB/atom
* space group: P4/mmm

# Dy2PuSi6

A relaxed structure of Dy2PuSi6 (PBE, Alexandria via LeMat-Bulk).

```
9
Lattice="3.924 0.000 0.000 0.000 6.091 -3.517 0.000 0.000 7.033" Properties=species:S:1:pos:R:3 pbc="T T T"
Si 1.962 2.029 1.172
Si 1.962 2.029 -1.172
Si 1.962 4.062 2.345
Si 1.962 0.000 4.690
Si 1.962 6.091 -1.173
Si 1.962 4.062 4.688
Pu 0.000 0.000 7.033
Dy 0.000 2.030 3.517
Dy 3.923 4.061 0.000
```

Values from the calculation:
* raw formation energy: -0.5386 eV/atom
* size of the total moment: 0.5498 μB/atom
* space group: P6/mmm

# Dy2PuSi4

A relaxed structure of Dy2PuSi4 (PBE, Alexandria via LeMat-Bulk).

```
7
Lattice="3.777 0.000 -0.861 -0.219 4.108 -0.960 0.115 -0.013 9.218" Properties=species:S:1:pos:R:3 pbc="T T T"
Si 3.533 1.773 6.782
Si 1.336 1.441 5.862
Si 2.337 2.655 1.535
Si 0.140 2.323 0.615
Pu 1.889 0.000 -0.431
Dy 0.694 0.748 3.044
Dy 2.979 3.348 4.352
```

Values from the calculation:
* raw formation energy: -0.6705 eV/atom
* size of the total moment: 0.7468 μB/atom
* space group: Immm

# DyPu2Si6

A relaxed structure of DyPu2Si6 (PBE, Alexandria via LeMat-Bulk).

```
9
Lattice="-2.220 2.548 -1.938 -4.616 -5.102 -1.420 -0.695 3.839 5.843" Properties=species:S:1:pos:R:3 pbc="T T T"
Si -5.958 -2.549 -0.442
Si -2.880 0.853 0.505
Si -4.883 1.711 3.927
Si -1.573 3.834 2.927
Si -2.648 -0.426 -1.442
Si -4.651 0.432 1.980
Pu -5.529 0.426 -0.937
Pu -2.002 0.859 3.422
Dy -0.695 3.839 5.843
```

Values from the calculation:
* raw formation energy: -0.5029 eV/atom
* size of the total moment: 1.1743 μB/atom
* space group: P6/mmm

# Dy2PuSi

A relaxed structure of Dy2PuSi (PBE, Alexandria via LeMat-Bulk).

```
4
Lattice="-2.851 0.224 2.019 -2.273 -2.660 0.120 3.709 -5.074 8.838" Properties=species:S:1:pos:R:3 pbc="T T T"
Dy 2.019 -3.744 6.303
Dy -3.434 -3.766 4.674
Si -0.708 -3.755 5.488
Pu 0.000 0.000 0.000
```

Values from the calculation:
* raw formation energy: 0.0969 eV/atom
* size of the total moment: 1.6122 μB/atom
* space group: R-3m

# DyPu2Si2

A relaxed structure of DyPu2Si2 (PBE, Alexandria via LeMat-Bulk).

```
10
Lattice="3.770 0.000 0.000 -1.885 6.660 0.000 0.000 0.000 8.706" Properties=species:S:1:pos:R:3 pbc="T T T"
Dy 1.885 1.049 7.253
Dy 0.000 5.611 2.900
Si 0.000 2.720 5.751
Si 1.885 3.940 1.398
Si 0.000 0.436 4.754
Si 1.885 6.224 0.401
Pu 1.885 4.760 6.462
Pu 1.885 2.456 3.678
Pu 0.000 4.204 8.030
Pu 0.000 1.900 2.109
```

Values from the calculation:
* raw formation energy: -0.3780 eV/atom
* size of the total moment: 0.0058 μB/atom
* space group: Cmc2_1